# Tb6Sm3ErTh2, optimized geometry, DFT GGA-PBE
# **Calculated total energy**: -61.1 eV for the cell shown
# **Total moment**: 0.000 Bohr magnetons per cell
data_Tb6Sm3ErTh2
_space_group_name_H-M_alt 'P 1'
_space_group_IT_number 1
_cell_length_a 6.196
_cell_length_b 6.196
_cell_length_c 11.840
_cell_angle_alpha 95.02
_cell_angle_beta 95.02
_cell_angle_gamma 119.95
loop_
_space_group_symop_operation_xyz
'x,y,z'
loop_
_atom_site_label
_atom_site_fract_x
_atom_site_fract_y
_atom_site_fract_z
Sm1 0.833 0.167 0.500
Tb1 0.419 0.082 0.246
Sm2 0.500 0.500 0.500
Th1 0.333 0.667 0.000
Sm3 0.167 0.833 0.500
Tb2 0.082 0.419 0.246
Tb3 0.581 0.918 0.754
Th2 0.667 0.333 0.000
Tb4 0.745 0.745 0.246
Tb5 0.918 0.581 0.754
Er1 0.000 0.000 0.000
Tb6 0.255 0.255 0.754

# CsLiCo3, optimized geometry, DFT GGA-PBE
# **Calculated total energy**: -16.4 eV for the cell shown
# **Offset from the most stable computed form**: 0 meV/atom
# **Total moment**: 4.498 Bohr magnetons per cell
data_CsLiCo3
_space_group_name_H-M_alt 'P 1'
_space_group_IT_number 1
_cell_length_a 4.532
_cell_length_b 4.532
_cell_length_c 4.532
_cell_angle_alpha 90.00
_cell_angle_beta 90.00
_cell_angle_gamma 90.00
loop_
_space_group_symop_operation_xyz
'x,y,z'
loop_
_atom_site_label
_atom_site_fract_x
_atom_site_fract_y
_atom_site_fract_z
Co1 0.000 0.000 0.500
Co2 0.500 0.000 0.000
Cs1 0.500 0.500 0.500
Co3 0.000 0.500 0.000
Li1 0.000 0.000 0.000

# La3Sm3Tm4, optimized geometry, DFT GGA-PBE
# **Calculated total energy**: -46.0 eV for the cell shown
# **Total moment**: 0.400 Bohr magnetons per cell
data_La3Sm3Tm4
_space_group_name_H-M_alt 'P 1'
_space_group_IT_number 1
_cell_length_a 3.647
_cell_length_b 9.690
_cell_length_c 9.690
_cell_angle_alpha 90.03
_cell_angle_beta 90.00
_cell_angle_gamma 90.00
loop_
_space_group_symop_operation_xyz
'x,y,z'
loop_
_atom_site_label
_atom_site_fract_x
_atom_site_fract_y
_atom_site_fract_z
Sm1 0.500 0.825 0.175
Sm2 0.500 0.327 0.325
Tm1 0.000 0.381 0.619
Tm2 0.000 0.621 0.379
La1 0.000 0.999 0.497
Sm3 0.500 0.675 0.673
La2 0.500 0.175 0.825
Tm3 0.000 0.119 0.125
La3 0.000 0.503 0.001
Tm4 0.000 0.875 0.881

# Sm2PF, optimized geometry, DFT GGA-PBE
# **Calculated total energy**: -24.2 eV for the cell shown
# **Offset from the most stable computed form**: 96 meV/atom
# **E_form (uncorrected)**: -1.874 eV/atom
# **Total moment**: 0.000 Bohr magnetons per cell
data_Sm2PF
_space_group_name_H-M_alt 'P 1'
_space_group_IT_number 1
_cell_length_a 3.855
_cell_length_b 3.855
_cell_length_c 7.207
_cell_angle_alpha 74.49
_cell_angle_beta 74.49
_cell_angle_gamma 60.00
loop_
_space_group_symop_operation_xyz
'x,y,z'
loop_
_atom_site_label
_atom_site_fract_x
_atom_site_fract_y
_atom_site_fract_z
F1 0.493 0.493 0.522
Sm1 0.081 0.081 0.758
P1 0.670 0.670 0.991
Sm2 0.257 0.257 0.228

# Ta2CrMo, optimized geometry, DFT GGA-PBE
# **Calculated total energy**: -44.0 eV for the cell shown
# **Total moment**: 0.000 Bohr magnetons per cell
data_Ta2CrMo
_space_group_name_H-M_alt 'P 1'
_space_group_IT_number 1
_cell_length_a 5.170
_cell_length_b 5.170
_cell_length_c 2.832
_cell_angle_alpha 78.97
_cell_angle_beta 78.97
_cell_angle_gamma 114.59
loop_
_space_group_symop_operation_xyz
'x,y,z'
loop_
_atom_site_label
_atom_site_fract_x
_atom_site_fract_y
_atom_site_fract_z
Ta1 0.500 0.500 0.000
Cr1 0.500 0.000 0.500
Mo1 0.000 0.500 0.500
Ta2 0.000 0.000 0.000

# Dy2YLu, optimized geometry, DFT GGA-PBE
# **Calculated total energy**: -19.7 eV for the cell shown
# **Offset from the most stable computed form**: 107 meV/atom
# **Total moment**: 0.000 Bohr magnetons per cell
data_Dy2YLu
_space_group_name_H-M_alt 'P 1'
_space_group_IT_number 1
_cell_length_a 5.634
_cell_length_b 5.634
_cell_length_c 5.634
_cell_angle_alpha 60.00
_cell_angle_beta 60.00
_cell_angle_gamma 60.00
loop_
_space_group_symop_operation_xyz
'x,y,z'
loop_
_atom_site_label
_atom_site_fract_x
_atom_site_fract_y
_atom_site_fract_z
Dy1 0.250 0.250 0.250
Y1 0.500 0.500 0.500
Dy2 0.750 0.750 0.750
Lu1 0.000 0.000 0.000

# YGaW3, optimized geometry, DFT GGA-PBE
# **Calculated total energy**: -33.2 eV for the cell shown
# **Offset from the most stable computed form**: 1649 meV/atom
# **Total moment**: 0.000 Bohr magnetons per cell
data_YGaW3
_space_group_name_H-M_alt 'P 1'
_space_group_IT_number 1
_cell_length_a 4.847
_cell_length_b 4.847
_cell_length_c 4.847
_cell_angle_alpha 90.00
_cell_angle_beta 90.00
_cell_angle_gamma 90.00
loop_
_space_group_symop_operation_xyz
'x,y,z'
loop_
_atom_site_label
_atom_site_fract_x
_atom_site_fract_y
_atom_site_fract_z
Ga1 0.500 0.500 0.500
W1 0.000 0.000 0.500
Y1 0.000 0.000 0.000
W2 0.000 0.500 0.000
W3 0.500 0.000 0.000

# Cr2TcSe, optimized geometry, DFT GGA-PBE
# **Calculated total energy**: -31.9 eV for the cell shown
# **E_form (uncorrected)**: 0.298 eV/atom
# **Total moment**: 0.000 Bohr magnetons per cell
data_Cr2TcSe
_space_group_name_H-M_alt 'P 1'
_space_group_IT_number 1
_cell_length_a 3.903
_cell_length_b 2.875
_cell_length_c 5.667
_cell_angle_alpha 59.46
_cell_angle_beta 90.00
_cell_angle_gamma 90.00
loop_
_space_group_symop_operation_xyz
'x,y,z'
loop_
_atom_site_label
_atom_site_fract_x
_atom_site_fract_y
_atom_site_fract_z
Cr1 0.000 0.483 0.518
Cr2 0.000 0.017 0.982
Tc1 0.500 0.750 0.750
Se1 0.500 0.250 0.250

# Nd2ErMg2, optimized geometry, DFT GGA-PBE
# **Calculated total energy**: -35.2 eV for the cell shown
# **Offset from the most stable computed form**: 0 meV/atom
# **Total moment**: 0.000 Bohr magnetons per cell
data_Nd2ErMg2
_space_group_name_H-M_alt 'P 1'
_space_group_IT_number 1
_cell_length_a 3.835
_cell_length_b 5.469
_cell_length_c 14.257
_cell_angle_alpha 90.00
_cell_angle_beta 97.75
_cell_angle_gamma 90.00
loop_
_space_group_symop_operation_xyz
'x,y,z'
loop_
_atom_site_label
_atom_site_fract_x
_atom_site_fract_y
_atom_site_fract_z
Mg1 0.640 0.750 0.280
Nd1 0.236 0.750 0.473
Mg2 0.555 0.250 0.110
Nd2 0.955 0.250 0.910
Nd3 0.045 0.750 0.090
Er1 0.850 0.750 0.700
Mg3 0.445 0.750 0.890
Mg4 0.360 0.250 0.720
Nd4 0.764 0.250 0.527
Er2 0.150 0.250 0.300

# LiSnS, optimized geometry, DFT GGA-PBE
# **Calculated total energy**: -35.7 eV for the cell shown
# **Offset from the most stable computed form**: 148 meV/atom
# **E_form (uncorrected)**: -0.618 eV/atom
# **Total moment**: 0.000 Bohr magnetons per cell
data_LiSnS
_space_group_name_H-M_alt 'P 1'
_space_group_IT_number 1
_cell_length_a 3.854
_cell_length_b 14.484
_cell_length_c 8.258
_cell_angle_alpha 28.72
_cell_angle_beta 76.51
_cell_angle_gamma 90.00
loop_
_space_group_symop_operation_xyz
'x,y,z'
loop_
_atom_site_label
_atom_site_fract_x
_atom_site_fract_y
_atom_site_fract_z
S1 0.163 0.933 0.674
S2 0.475 0.975 0.050
Sn1 0.932 0.300 0.137
Li1 0.465 0.793 0.069
Li2 0.173 0.173 0.654
Li3 0.465 0.137 0.069
Sn2 0.670 0.670 0.660
S3 0.163 0.393 0.674
Sn3 0.932 0.563 0.137

# CdSiBr3, optimized geometry, DFT GGA-PBE
# **Calculated total energy**: -10.7 eV for the cell shown
# **Offset from the most stable computed form**: 313 meV/atom
# **E_form (uncorrected)**: 0.138 eV/atom
# **Total moment**: 0.990 Bohr magnetons per cell
data_CdSiBr3
_space_group_name_H-M_alt 'P 1'
_space_group_IT_number 1
_cell_length_a 5.435
_cell_length_b 5.435
_cell_length_c 5.435
_cell_angle_alpha 90.00
_cell_angle_beta 90.00
_cell_angle_gamma 90.00
loop_
_space_group_symop_operation_xyz
'x,y,z'
loop_
_atom_site_label
_atom_site_fract_x
_atom_site_fract_y
_atom_site_fract_z
Si1 0.500 0.500 0.500
Br1 0.000 0.500 0.000
Cd1 0.000 0.000 0.000
Br2 0.500 0.000 0.000
Br3 0.000 0.000 0.500

# BaHo3Pd, optimized geometry, DFT GGA-PBE
# **Calculated total energy**: -21.8 eV for the cell shown
# **Total moment**: 0.000 Bohr magnetons per cell
data_BaHo3Pd
_space_group_name_H-M_alt 'P 1'
_space_group_IT_number 1
_cell_length_a 5.586
_cell_length_b 5.586
_cell_length_c 5.586
_cell_angle_alpha 90.00
_cell_angle_beta 90.00
_cell_angle_gamma 90.00
loop_
_space_group_symop_operation_xyz
'x,y,z'
loop_
_atom_site_label
_atom_site_fract_x
_atom_site_fract_y
_atom_site_fract_z
Pd1 0.000 0.000 0.000
Ho1 0.500 0.000 0.000
Ho2 0.000 0.500 0.000
Ho3 0.000 0.000 0.500
Ba1 0.500 0.500 0.500

# NaZnIn2, optimized geometry, DFT GGA-PBE
# **Calculated total energy**: -8.1 eV for the cell shown
# **Total moment**: 0.000 Bohr magnetons per cell
data_NaZnIn2
_space_group_name_H-M_alt 'P 1'
_space_group_IT_number 1
_cell_length_a 4.655
_cell_length_b 4.655
_cell_length_c 6.172
_cell_angle_alpha 67.85
_cell_angle_beta 67.85
_cell_angle_gamma 60.00
loop_
_space_group_symop_operation_xyz
'x,y,z'
loop_
_atom_site_label
_atom_site_fract_x
_atom_site_fract_y
_atom_site_fract_z
Na1 0.492 0.492 0.524
In1 0.055 0.055 0.836
In2 0.273 0.273 0.180
Zn1 0.680 0.680 0.959

# Sr3H, optimized geometry, DFT GGA-PBE
# **Calculated total energy**: -8.5 eV for the cell shown
# **Offset from the most stable computed form**: 152 meV/atom
# **Total moment**: 0.000 Bohr magnetons per cell
data_Sr3H
_space_group_name_H-M_alt 'P 1'
_space_group_IT_number 1
_cell_length_a 3.742
_cell_length_b 6.900
_cell_length_c 6.992
_cell_angle_alpha 119.57
_cell_angle_beta 105.52
_cell_angle_gamma 90.00
loop_
_space_group_symop_operation_xyz
'x,y,z'
loop_
_atom_site_label
_atom_site_fract_x
_atom_site_fract_y
_atom_site_fract_z
H1 0.000 0.040 0.000
Sr1 0.333 0.717 0.667
Sr2 0.667 0.051 0.333
Sr3 0.500 0.358 0.000

# Tm2CdHg6, optimized geometry, DFT GGA-PBE
# **Calculated total energy**: -13.5 eV for the cell shown
# **Offset from the most stable computed form**: 39 meV/atom
# **Total moment**: 0.000 Bohr magnetons per cell
data_Tm2CdHg6
_space_group_name_H-M_alt 'P 1'
_space_group_IT_number 1
_cell_length_a 5.910
_cell_length_b 8.794
_cell_length_c 6.045
_cell_angle_alpha 136.67
_cell_angle_beta 92.01
_cell_angle_gamma 90.00
loop_
_space_group_symop_operation_xyz
'x,y,z'
loop_
_atom_site_label
_atom_site_fract_x
_atom_site_fract_y
_atom_site_fract_z
Hg1 0.168 0.832 0.334
Hg2 0.168 0.502 0.334
Hg3 0.832 0.168 0.666
Hg4 0.500 0.835 0.000
Tm1 0.678 0.674 0.347
Hg5 0.832 0.498 0.666
Hg6 0.500 0.165 0.000
Cd1 0.000 0.000 0.000
Tm2 0.322 0.326 0.653

# BeRe2As, optimized geometry, DFT GGA-PBE
# **Calculated total energy**: -32.3 eV for the cell shown
# **Offset from the most stable computed form**: 291 meV/atom
# **Total moment**: 0.000 Bohr magnetons per cell
data_BeRe2As
_space_group_name_H-M_alt 'P 1'
_space_group_IT_number 1
_cell_length_a 2.990
_cell_length_b 2.990
_cell_length_c 5.943
_cell_angle_alpha 90.00
_cell_angle_beta 90.00
_cell_angle_gamma 90.00
loop_
_space_group_symop_operation_xyz
'x,y,z'
loop_
_atom_site_label
_atom_site_fract_x
_atom_site_fract_y
_atom_site_fract_z
Be1 0.500 0.500 0.750
Re1 0.000 0.000 0.968
Re2 0.000 0.000 0.532
As1 0.500 0.500 0.250

# CsGeH2N, optimized geometry, DFT GGA-PBE
# **Calculated total energy**: -11.5 eV for the cell shown
# **Total moment**: 0.000 Bohr magnetons per cell
data_CsGeH2N
_space_group_name_H-M_alt 'P 1'
_space_group_IT_number 1
_cell_length_a 4.171
_cell_length_b 4.958
_cell_length_c 4.171
_cell_angle_alpha 90.00
_cell_angle_beta 90.00
_cell_angle_gamma 90.00
loop_
_space_group_symop_operation_xyz
'x,y,z'
loop_
_atom_site_label
_atom_site_fract_x
_atom_site_fract_y
_atom_site_fract_z
H1 0.500 0.000 0.000
N1 0.000 0.500 0.000
H2 0.000 0.000 0.500
Ge1 0.500 0.500 0.500
Cs1 0.000 0.000 0.000

# ZrPaW, optimized geometry, DFT GGA-PBE
# **Calculated total energy**: -181.7 eV for the cell shown
# **Total moment**: 0.000 Bohr magnetons per cell
data_ZrPaW
_space_group_name_H-M_alt 'P 1'
_space_group_IT_number 1
_cell_length_a 5.779
_cell_length_b 5.779
_cell_length_c 13.982
_cell_angle_alpha 78.07
_cell_angle_beta 78.07
_cell_angle_gamma 60.00
loop_
_space_group_symop_operation_xyz
'x,y,z'
loop_
_atom_site_label
_atom_site_fract_x
_atom_site_fract_y
_atom_site_fract_z
W1 0.500 0.500 0.500
Pa1 0.270 0.789 0.672
Zr1 0.964 0.964 0.109
Zr2 0.819 0.819 0.543
Pa2 0.789 0.270 0.672
W2 0.384 0.384 0.849
Zr3 0.272 0.272 0.183
Zr4 0.181 0.181 0.457
Pa3 0.211 0.730 0.328
Pa4 0.270 0.270 0.672
W3 0.616 0.616 0.151
Pa5 0.730 0.730 0.328
W4 0.000 0.500 0.000
W5 0.500 0.500 0.000
Zr5 0.728 0.728 0.817
Zr6 0.036 0.036 0.891
W6 0.500 0.000 0.000
Pa6 0.730 0.211 0.328

# InW2Se, optimized geometry, DFT GGA-PBE
# **Calculated total energy**: -30.0 eV for the cell shown
# **Offset from the most stable computed form**: 229 meV/atom
# **E_form (uncorrected)**: 0.530 eV/atom
# **Total moment**: 0.000 Bohr magnetons per cell
data_InW2Se
_space_group_name_H-M_alt 'P 1'
_space_group_IT_number 1
_cell_length_a 4.642
_cell_length_b 3.034
_cell_length_c 5.475
_cell_angle_alpha 74.51
_cell_angle_beta 90.00
_cell_angle_gamma 90.00
loop_
_space_group_symop_operation_xyz
'x,y,z'
loop_
_atom_site_label
_atom_site_fract_x
_atom_site_fract_y
_atom_site_fract_z
W1 0.000 0.822 0.002
Se1 0.500 0.907 0.798
W2 0.500 0.223 0.183
In1 0.000 0.548 0.517

# HgBPt, optimized geometry, DFT GGA-PBE
# **Calculated total energy**: -25.9 eV for the cell shown
# **Total moment**: 0.000 Bohr magnetons per cell
data_HgBPt
_space_group_name_H-M_alt 'P 1'
_space_group_IT_number 1
_cell_length_a 3.113
_cell_length_b 6.044
_cell_length_c 5.666
_cell_angle_alpha 114.42
_cell_angle_beta 90.00
_cell_angle_gamma 90.00
loop_
_space_group_symop_operation_xyz
'x,y,z'
loop_
_atom_site_label
_atom_site_fract_x
_atom_site_fract_y
_atom_site_fract_z
Hg1 0.251 0.738 0.965
Pt1 0.750 0.712 0.502
Hg2 0.749 0.262 0.035
Pt2 0.250 0.288 0.498
B1 0.750 0.091 0.576
B2 0.250 0.909 0.424

# PuSc4Te6, optimized geometry, DFT GGA-PBE
# **Calculated total energy**: -142.3 eV for the cell shown
# **E_form (uncorrected)**: -1.151 eV/atom
# **Total moment**: 11.321 Bohr magnetons per cell
data_PuSc4Te6
_space_group_name_H-M_alt 'P 1'
_space_group_IT_number 1
_cell_length_a 4.176
_cell_length_b 7.159
_cell_length_c 21.425
_cell_angle_alpha 90.00
_cell_angle_beta 90.00
_cell_angle_gamma 106.96
loop_
_space_group_symop_operation_xyz
'x,y,z'
loop_
_atom_site_label
_atom_site_fract_x
_atom_site_fract_y
_atom_site_fract_z
Pu1 0.344 0.688 0.750
Te1 0.048 0.096 0.340
Sc1 0.590 0.180 0.625
Te2 0.672 0.343 0.750
Te3 0.500 0.000 0.000
Te4 0.952 0.904 0.840
Pu2 0.656 0.312 0.250
Te5 0.768 0.535 0.091
Te6 0.952 0.904 0.660
Sc2 0.856 0.712 0.536
Sc3 0.410 0.820 0.125
Sc4 0.144 0.288 0.464
Te7 0.768 0.535 0.409
Te8 0.328 0.657 0.250
Sc5 0.144 0.288 0.036
Te9 0.232 0.465 0.909
Te10 0.048 0.096 0.160
Te11 0.232 0.465 0.591
Te12 0.500 0.000 0.500
Sc6 0.856 0.712 0.964
Sc7 0.410 0.820 0.375
Sc8 0.590 0.180 0.875

# PrNd6In2, optimized geometry, DFT GGA-PBE
# **Calculated total energy**: -40.6 eV for the cell shown
# **Total moment**: 0.000 Bohr magnetons per cell
data_PrNd6In2
_space_group_name_H-M_alt 'P 1'
_space_group_IT_number 1
_cell_length_a 3.895
_cell_length_b 6.874
_cell_length_c 12.079
_cell_angle_alpha 74.69
_cell_angle_beta 80.72
_cell_angle_gamma 73.54
loop_
_space_group_symop_operation_xyz
'x,y,z'
loop_
_atom_site_label
_atom_site_fract_x
_atom_site_fract_y
_atom_site_fract_z
In1 0.356 0.078 0.210
Nd1 0.691 0.203 0.415
Nd2 0.313 0.499 0.875
Pr1 0.000 0.000 0.000
Nd3 0.309 0.797 0.585
Nd4 0.012 0.314 0.661
Nd5 0.988 0.686 0.339
In2 0.644 0.922 0.790
Nd6 0.687 0.501 0.125